Entry 1:
Density functional theory data (PBE) for an optimized crystal structure of CaBePtRh2.

The value obtained for the magnetic moment is 0.0 μB/f.u. As for the formation energy: -368 meV per atom. The space group is No. 123. As for the density of states at the Fermi level: 1.1746 states/eV/atom.

abc: 4.293 4.293 4.315
angles: 90.00 90.00 90.00
Positions (direct):
Ca (0.000, 0.000, 0.000)
Be (0.500, 0.500, 0.500)
Pt (0.500, 0.500, 0.000)
Rh (0.000, 0.500, 0.500)
Rh (0.500, 0.000, 0.500)

=====

Entry 2:
Density functional theory data (PBE) for an optimized crystal structure of Sr17Ca2.

The value obtained for the magnetic moment is 0.0 μB/f.u. As for the formation energy: 144 meV per atom. The space group is No. 166. As for the density of states at the Fermi level: 1.2693 states/eV/atom.

abc: 10.510 10.510 10.510
angles: 79.69 79.69 79.69
Positions (direct):
Sr (0.000, 0.000, 0.500)
Sr (0.000, 0.318, 0.682)
Sr (0.000, 0.500, 0.000)
Sr (0.000, 0.682, 0.318)
Sr (0.092, 0.092, 0.092)
Sr (0.156, 0.659, 0.659)
Sr (0.318, 0.000, 0.682)
Sr (0.318, 0.682, 0.000)
Sr (0.341, 0.341, 0.844)
Sr (0.341, 0.844, 0.341)
Sr (0.500, 0.000, 0.000)
Sr (0.659, 0.156, 0.659)
Sr (0.659, 0.659, 0.156)
Sr (0.682, 0.000, 0.318)
Sr (0.682, 0.318, 0.000)
Sr (0.844, 0.341, 0.341)
Sr (0.908, 0.908, 0.908)
Ca (0.288, 0.288, 0.288)
Ca (0.712, 0.712, 0.712)

=====

Entry 3:
Density functional theory data (PBE) for an optimized crystal structure of AgPbI2N.

The value obtained for the magnetic moment is 1.5 μB/f.u. The relative energy among the computed polymorphs is 170 meV/atom. The uncorrected formation energy is 0.823 eV/atom. The space group is No. 123. As for the density of states at the Fermi level: 0.5512 states/eV/atom.

abc: 6.318 6.318 4.626
angles: 90.00 90.00 90.00
Positions (direct):
Ag (0.000, 0.000, 0.000)
Pb (0.500, 0.500, 0.500)
I (0.000, 0.500, 0.500)
I (0.500, 0.000, 0.500)
N (0.500, 0.500, 0.000)

=====

Entry 4:
Density functional theory data (PBE) for an optimized crystal structure of Cd6Ag12Sn.

The value obtained for the magnetic moment is 0.0 μB/f.u. As for the formation energy: 33 meV per atom. The space group is No. 148. As for the density of states at the Fermi level: 0.2498 states/eV/atom.

abc: 7.236 7.236 7.236
angles: 91.20 91.20 91.20
Positions (direct):
Cd (0.213, 0.614, 0.780)
Cd (0.220, 0.787, 0.386)
Cd (0.386, 0.220, 0.787)
Cd (0.614, 0.780, 0.213)
Cd (0.780, 0.213, 0.614)
Cd (0.787, 0.386, 0.220)
Ag (0.031, 0.291, 0.941)
Ag (0.059, 0.969, 0.709)
Ag (0.128, 0.339, 0.462)
Ag (0.291, 0.941, 0.031)
Ag (0.339, 0.462, 0.128)
Ag (0.462, 0.128, 0.339)
Ag (0.538, 0.872, 0.661)
Ag (0.661, 0.538, 0.872)
Ag (0.709, 0.059, 0.969)
Ag (0.872, 0.661, 0.538)
Ag (0.941, 0.031, 0.291)
Ag (0.969, 0.709, 0.059)
Sn (0.500, 0.500, 0.500)

=====

What is the formula in the third record?
AgPbI2N

=====

Look up the magnetic moment of the second one.
0.0 μB/f.u.